(1)
The following is a DFT calculation (PBEsol) of an optimized crystal structure of TbAsO4.

Calculated values
V, A^3/atom: 13.21
Formation energy from raw total energies, eV per atom: -2.405
Uncorrected energy, eV per atom: -7.590

Cell: 5.9224 5.9224 5.9224 Å, 106.48 106.48 115.63°
Closest atoms and distances in Å follow each position.
Fractional coordinates of all 12 atoms:
Tb 0.3750 0.6250 0.7500  8 O 2.30-2.41
Tb 0.6250 0.3750 0.2500  8 O 2.30-2.41
As 0.1250 0.8750 0.2500  4 O 1.71
As 0.8750 0.1250 0.7500  4 O 1.71
O 0.1300 0.6977 0.4322  1 As 1.71
O 0.2345 0.3023 0.9322  1 As 1.71
O 0.3023 0.2345 0.4322  1 As 1.71
O 0.3023 0.8700 0.0678  1 As 1.71
O 0.6977 0.1300 0.9322  1 As 1.71
O 0.6977 0.7655 0.5678  1 As 1.71
O 0.7655 0.6977 0.0678  1 As 1.71
O 0.8700 0.3023 0.5678  1 As 1.71

(2)
The following is a DFT calculation (PBEsol) of an optimized crystal structure of TcAsO2.

Calculated values
V, A^3/atom: 11.58
Formation energy from raw total energies, eV per atom: -0.868
Uncorrected energy, eV per atom: -7.586

Cell: 7.0411 7.0411 7.0411 Å, 22.88 22.88 22.88°
Closest atoms and distances in Å follow each position.
Fractional coordinates of all 4 atoms:
Tc 0.0000 0.0000 0.0000  6 O 2.07
As 0.5000 0.5000 0.5000  2 O 2.12
O 0.3968 0.3968 0.3968  3 Tc 2.07, 1 As 2.12
O 0.6032 0.6032 0.6032  3 Tc 2.07, 1 As 2.12

(3)
The following is a DFT calculation (PBEsol) of an optimized crystal structure of Te3AsO.

Calculated values
V, A^3/atom: 21.89
Formation energy from raw total energies, eV per atom: 0.294
ΔE to the lowest computed polymorph, meV per atom: 0
Uncorrected energy, eV per atom: -3.893

Cell: 4.7832 4.7832 4.7832 Å, 90.00 90.00 90.00°
Closest atoms and distances in Å follow each position.
Fractional coordinates of all 5 atoms:
Te 0.0000 0.0000 0.5000  2 O 2.39
Te 0.0000 0.5000 0.0000  2 O 2.39
Te 0.5000 0.0000 0.0000  2 O 2.39
As 0.5000 0.5000 0.5000  12 Te 3.38
O 0.0000 0.0000 0.0000  6 Te 2.39

(4)
The following is a DFT calculation (PBEsol) of an optimized crystal structure of Te3As2O11.

Calculated values
V, A^3/atom: 15.02
Formation energy from raw total energies, eV per atom: -1.089
Uncorrected energy, eV per atom: -5.997

Cell: 6.5965 7.6679 10.4412 Å, 68.63 80.67 79.17°
Closest atoms and distances in Å follow each position.
Fractional coordinates of all 32 atoms:
Te 0.1925 0.2551 0.0180  3 O 1.91-2.08
Te 0.2621 0.1050 0.3433  5 O 1.97-2.13
Te 0.2979 0.5389 0.2964  3 O 1.91-2.08
Te 0.7021 0.4611 0.7036  3 O 1.91-2.08
Te 0.7379 0.8950 0.6567  5 O 1.97-2.13
Te 0.8075 0.7449 0.9820  3 O 1.91-2.08
As 0.1860 0.5976 0.6132  4 O 1.71-1.73
As 0.3094 0.8837 0.8946  4 O 1.71-1.73
As 0.6906 0.1163 0.1054  4 O 1.71-1.73
As 0.8140 0.4024 0.3868  4 O 1.71-1.73
O 0.0215 0.4322 0.6541  1 As 1.71
O 0.0615 0.8143 0.6160  1 As 1.72
O 0.1408 0.7207 0.9458  1 As 1.71
O 0.1791 0.0973 0.9023  1 As 1.72
O 0.2019 0.0338 0.1806  2 Te 1.91-2.08
O 0.2452 0.3488 0.1887  1 Te 1.97
O 0.3066 0.6487 0.4458  1 As 1.73
O 0.3217 0.2902 0.4306  2 Te 1.91-2.07
O 0.3668 0.4996 0.7293  1 As 1.71
O 0.4191 0.9257 0.7283  1 As 1.71
O 0.4863 0.7910 0.0160  1 As 1.73
O 0.5137 0.2090 0.9840  1 As 1.73
O 0.5809 0.0743 0.2717  1 As 1.71
O 0.6332 0.5004 0.2707  1 As 1.71
O 0.6783 0.7098 0.5694  2 Te 1.91-2.07
O 0.6934 0.3513 0.5542  1 As 1.73
O 0.7548 0.6512 0.8113  1 Te 1.97
O 0.7981 0.9662 0.8194  2 Te 1.91-2.08
O 0.8209 0.9027 0.0977  1 As 1.72
O 0.8592 0.2793 0.0542  1 As 1.71
O 0.9385 0.1857 0.3840  1 As 1.72
O 0.9785 0.5678 0.3459  1 As 1.71

(5)
The following is a DFT calculation (PBEsol) of an optimized crystal structure of Te3AsO.

Calculated values
V, A^3/atom: 30.37
Formation energy from raw total energies, eV per atom: 1.053
ΔE to the lowest computed polymorph, meV per atom: 759
Uncorrected energy, eV per atom: -3.134

Cell: 5.3348 5.3348 5.3348 Å, 90.00 90.00 90.00°
Closest atoms and distances in Å follow each position.
Fractional coordinates of all 5 atoms:
Te 0.0000 0.0000 0.5000  2 As 2.67
Te 0.0000 0.5000 0.0000  2 As 2.67
Te 0.5000 0.0000 0.0000  2 As 2.67
As 0.0000 0.0000 0.0000  6 Te 2.67
O 0.5000 0.5000 0.5000  12 Te 3.77

(6)
The following is a DFT calculation (PBEsol) of an optimized crystal structure of TiAsO3.

Calculated values
V, A^3/atom: 11.34
Formation energy from raw total energies, eV per atom: -1.596
Uncorrected energy, eV per atom: -7.431

Cell: 3.8413 3.8413 3.8413 Å, 90.00 90.00 90.00°
Closest atoms and distances in Å follow each position.
Fractional coordinates of all 5 atoms:
Ti 0.0000 0.0000 0.0000  6 O 1.92
As 0.5000 0.5000 0.5000  12 O 2.72
O 0.0000 0.0000 0.5000  2 Ti 1.92
O 0.0000 0.5000 0.0000  2 Ti 1.92
O 0.5000 0.0000 0.0000  2 Ti 1.92

(7)
The following is a DFT calculation (PBEsol) of an optimized crystal structure of TiTlAsO5.

Calculated values
V, A^3/atom: 14.85
Formation energy from raw total energies, eV per atom: -1.863
Uncorrected energy, eV per atom: -7.151

Cell: 13.2469 6.6470 10.7902 Å, 90.00 90.00 90.00°
Closest atoms and distances in Å follow each position.
Fractional coordinates of all 64 atoms:
Ti 0.1288 0.0101 0.0000  2 O 1.77-1.89
Ti 0.2416 0.2693 0.7446  6 O 1.83-2.05
Ti 0.2584 0.7693 0.2446  6 O 1.83-2.05
Ti 0.3712 0.5101 0.5000  2 O 1.77-1.89
Ti 0.6288 0.4899 0.0000  2 O 1.77-1.89
Ti 0.7416 0.2307 0.7446  6 O 1.83-2.05
Ti 0.7584 0.7307 0.2446  6 O 1.83-2.05
Ti 0.8712 0.9899 0.5000  2 O 1.77-1.89
Tl 0.1051 0.7008 0.5595  5 O 2.65-2.95
Tl 0.1199 0.2859 0.3165  6 O 2.72-2.99
Tl 0.3801 0.7859 0.8165  6 O 2.72-2.99
Tl 0.3949 0.2008 0.0595  5 O 2.65-2.95
Tl 0.6051 0.7992 0.5595  5 O 2.65-2.95
Tl 0.6199 0.2141 0.3165  6 O 2.72-2.99
Tl 0.8801 0.7141 0.8165  6 O 2.72-2.99
Tl 0.8949 0.2992 0.0595  5 O 2.65-2.95
As 0.0043 0.8324 0.2544  4 O 1.70-1.72
As 0.1813 0.5141 0.0053  4 O 1.70-1.72
As 0.3187 0.0141 0.5053  4 O 1.70-1.72
As 0.4957 0.3324 0.7544  4 O 1.70-1.72
As 0.5043 0.6676 0.2544  4 O 1.70-1.72
As 0.6813 0.9859 0.0053  4 O 1.70-1.72
As 0.8187 0.4859 0.5053  4 O 1.70-1.72
As 0.9957 0.1676 0.7544  4 O 1.70-1.72
O 0.0048 0.0445 0.8938  1 As 1.72
O 0.0147 0.0085 0.1411  1 As 1.70
O 0.0963 0.3256 0.7297  1 As 1.72
O 0.1056 0.7158 0.9763  1 As 1.70
O 0.1101 0.3100 0.0451  1 As 1.71
O 0.1108 0.6870 0.2679  1 As 1.72
O 0.2138 0.0699 0.8786  1 Ti 1.77
O 0.2207 0.9562 0.1291  2 Ti 1.83-1.89
O 0.2338 0.0482 0.6241  1 As 1.72
O 0.2442 0.9730 0.3778  1 As 1.71
O 0.2558 0.4730 0.8778  1 As 1.71
O 0.2662 0.5482 0.1241  1 As 1.72
O 0.2793 0.4562 0.6292  2 Ti 1.83-1.89
O 0.2862 0.5699 0.3786  1 Ti 1.77
O 0.3892 0.1870 0.7679  1 As 1.72
O 0.3899 0.8100 0.5451  1 As 1.71
O 0.3944 0.2158 0.4763  1 As 1.70
O 0.4037 0.8256 0.2297  1 As 1.72
O 0.4853 0.5085 0.6411  1 As 1.70
O 0.4952 0.5445 0.3938  1 As 1.72
O 0.5048 0.4555 0.8938  1 As 1.72
O 0.5147 0.4915 0.1411  1 As 1.70
O 0.5963 0.1744 0.7297  1 As 1.72
O 0.6056 0.7842 0.9763  1 As 1.70
O 0.6101 0.1900 0.0451  1 As 1.71
O 0.6108 0.8130 0.2679  1 As 1.72
O 0.7138 0.4301 0.8786  1 Ti 1.77
O 0.7207 0.5438 0.1291  2 Ti 1.83-1.89
O 0.7338 0.4518 0.6241  1 As 1.72
O 0.7442 0.5270 0.3778  1 As 1.71
O 0.7558 0.0270 0.8778  1 As 1.71
O 0.7662 0.9518 0.1241  1 As 1.72
O 0.7793 0.0438 0.6292  2 Ti 1.83-1.89
O 0.7862 0.9301 0.3786  1 Ti 1.77
O 0.8892 0.3130 0.7679  1 As 1.72
O 0.8899 0.6900 0.5451  1 As 1.71
O 0.8944 0.2842 0.4763  1 As 1.70
O 0.9037 0.6744 0.2297  1 As 1.72
O 0.9853 0.9915 0.6411  1 As 1.70
O 0.9952 0.9555 0.3938  1 As 1.72

(8)
The following is a DFT calculation (PBEsol) of an optimized crystal structure of TiZnAs2O7.

Calculated values
V, A^3/atom: 14.02
Formation energy from raw total energies, eV per atom: -1.678
Uncorrected energy, eV per atom: -6.848

Cell: 8.3437 8.4557 10.8822 Å, 90.00 126.54 90.00°
Closest atoms and distances in Å follow each position.
Fractional coordinates of all 44 atoms:
Ti 0.1421 0.0124 0.2929  3 O 1.71-1.88
Ti 0.1421 0.4876 0.7929  3 O 1.71-1.88
Ti 0.8579 0.5124 0.2071  3 O 1.71-1.88
Ti 0.8579 0.9876 0.7071  3 O 1.71-1.88
Zn 0.3452 0.1309 0.8798  5 O 1.98-2.10
Zn 0.3452 0.3691 0.3798  5 O 1.98-2.10
Zn 0.6548 0.6309 0.6202  5 O 1.98-2.10
Zn 0.6548 0.8691 0.1202  5 O 1.98-2.10
As 0.0043 0.2087 0.5340  3 O 1.79-1.91
As 0.0043 0.2913 0.0340  3 O 1.79-1.91
As 0.4292 0.7201 0.2632  4 O 1.68-1.74
As 0.4292 0.7799 0.7632  4 O 1.68-1.74
As 0.5708 0.2201 0.2368  4 O 1.68-1.74
As 0.5708 0.2799 0.7368  4 O 1.68-1.74
As 0.9957 0.7087 0.9660  3 O 1.79-1.91
As 0.9957 0.7913 0.4660  3 O 1.79-1.91
O 0.0202 0.6113 0.3915  1 As 1.79, 1 Ti 1.82
O 0.0202 0.8887 0.8915  1 As 1.79, 1 Ti 1.82
O 0.0536 0.0789 0.6881  1 As 1.83, 1 Ti 1.93
O 0.0536 0.4211 0.1881  1 As 1.83, 1 Ti 1.93
O 0.2695 0.6488 0.0764  2 As 1.74-1.91
O 0.2695 0.8512 0.5764  2 As 1.74-1.91
O 0.2792 0.1605 0.4209  1 Ti 1.71
O 0.2792 0.3395 0.9209  1 Ti 1.71
O 0.2901 0.6351 0.7693  1 As 1.72, 1 Ti 1.88
O 0.2901 0.8649 0.2693  1 As 1.72, 1 Ti 1.88
O 0.3657 0.2207 0.7195  1 As 1.68
O 0.3657 0.2793 0.2195  1 As 1.68
O 0.4808 0.5782 0.3938  1 As 1.71
O 0.4808 0.9218 0.8938  1 As 1.71
O 0.5192 0.0782 0.1062  1 As 1.71
O 0.5192 0.4218 0.6062  1 As 1.71
O 0.6343 0.7207 0.7805  1 As 1.68
O 0.6343 0.7793 0.2805  1 As 1.68
O 0.7099 0.1351 0.7307  1 As 1.72, 1 Ti 1.88
O 0.7099 0.3649 0.2307  1 As 1.72, 1 Ti 1.88
O 0.7208 0.6605 0.0791  1 Ti 1.71
O 0.7208 0.8395 0.5791  1 Ti 1.71
O 0.7305 0.1488 0.4236  2 As 1.74-1.91
O 0.7305 0.3512 0.9236  2 As 1.74-1.91
O 0.9464 0.5789 0.8119  1 As 1.83, 1 Ti 1.93
O 0.9464 0.9211 0.3119  1 As 1.83, 1 Ti 1.93
O 0.9798 0.1113 0.1085  1 As 1.79, 1 Ti 1.82
O 0.9798 0.3887 0.6085  1 As 1.79, 1 Ti 1.82

(9)
The following is a DFT calculation (PBEsol) of an optimized crystal structure of Tl3AsO.

Calculated values
V, A^3/atom: 23.38
Formation energy from raw total energies, eV per atom: 0.021
Uncorrected energy, eV per atom: -3.628

Cell: 4.8899 4.8899 4.8899 Å, 90.00 90.00 90.00°
Closest atoms and distances in Å follow each position.
Fractional coordinates of all 5 atoms:
Tl 0.0000 0.0000 0.5000  2 O 2.44
Tl 0.0000 0.5000 0.0000  2 O 2.44
Tl 0.5000 0.0000 0.0000  2 O 2.44
As 0.5000 0.5000 0.5000  12 Tl 3.46
O 0.0000 0.0000 0.0000  6 Tl 2.44

(10)
The following is a DFT calculation (PBEsol) of an optimized crystal structure of TlAsO4.

Calculated values
V, A^3/atom: 11.91
Formation energy from raw total energies, eV per atom: -1.036
Uncorrected energy, eV per atom: -5.825

Cell: 4.8962 12.0997 4.8230 Å, 90.00 90.00 90.00°
Closest atoms and distances in Å follow each position.
Fractional coordinates of all 24 atoms:
Tl 0.0000 0.1676 0.2500  6 O 2.24-2.29
Tl 0.0000 0.8324 0.7500  6 O 2.24-2.29
Tl 0.5000 0.3324 0.7500  6 O 2.24-2.29
Tl 0.5000 0.6676 0.2500  6 O 2.24-2.29
As 0.0000 0.4320 0.2500  6 O 1.80-1.91
As 0.0000 0.5680 0.7500  6 O 1.80-1.91
As 0.5000 0.0680 0.7500  6 O 1.80-1.91
As 0.5000 0.9320 0.2500  6 O 1.80-1.91
O 0.2096 0.4574 0.5626  2 As 1.85-1.91
O 0.2096 0.5426 0.0626  2 As 1.85-1.91
O 0.2203 0.3256 0.1165  1 As 1.80
O 0.2203 0.6744 0.6165  1 As 1.80
O 0.2797 0.1744 0.6165  1 As 1.80
O 0.2797 0.8256 0.1165  1 As 1.80
O 0.2904 0.0426 0.0626  2 As 1.85-1.91
O 0.2904 0.9574 0.5626  2 As 1.85-1.91
O 0.7096 0.0426 0.4374  2 As 1.85-1.91
O 0.7096 0.9574 0.9374  2 As 1.85-1.91
O 0.7203 0.1744 0.8835  1 As 1.80
O 0.7203 0.8256 0.3835  1 As 1.80
O 0.7797 0.3256 0.3835  1 As 1.80
O 0.7797 0.6744 0.8835  1 As 1.80
O 0.7904 0.4574 0.9374  2 As 1.85-1.91
O 0.7904 0.5426 0.4374  2 As 1.85-1.91

(11)
The following is a DFT calculation (PBEsol) of an optimized crystal structure of TmAsO4.

Calculated values
V, A^3/atom: 12.64
Formation energy from raw total energies, eV per atom: -2.426
Uncorrected energy, eV per atom: -7.593

Cell: 5.8342 5.8342 5.8342 Å, 106.60 106.60 115.37°
Closest atoms and distances in Å follow each position.
Fractional coordinates of all 12 atoms:
Tm 0.3750 0.6250 0.7500  8 O 2.25-2.37
Tm 0.6250 0.3750 0.2500  8 O 2.25-2.37
As 0.1250 0.8750 0.2500  4 O 1.71
As 0.8750 0.1250 0.7500  4 O 1.71
O 0.1280 0.6942 0.4338  1 As 1.71
O 0.2396 0.3058 0.9338  1 As 1.71
O 0.3058 0.2396 0.4338  1 As 1.71
O 0.3058 0.8720 0.0662  1 As 1.71
O 0.6942 0.1280 0.9338  1 As 1.71
O 0.6942 0.7604 0.5662  1 As 1.71
O 0.7604 0.6942 0.0662  1 As 1.71
O 0.8720 0.3058 0.5662  1 As 1.71

(12)
The following is a DFT calculation (PBEsol) of an optimized crystal structure of TmAsO4.

Calculated values
V, A^3/atom: 11.91
Formation energy from raw total energies, eV per atom: -2.356
Uncorrected energy, eV per atom: -7.523

Cell: 6.5696 6.8590 7.9537 Å, 90.00 127.13 90.00°
Closest atoms and distances in Å follow each position.
Fractional coordinates of all 24 atoms:
Tm 0.1954 0.1423 0.4190  8 O 2.27-2.45
Tm 0.1954 0.3577 0.9190  8 O 2.27-2.45
Tm 0.8046 0.6423 0.0810  8 O 2.27-2.45
Tm 0.8046 0.8577 0.5810  8 O 2.27-2.45
As 0.3117 0.6586 0.6113  4 O 1.70-1.72
As 0.3117 0.8414 0.1113  4 O 1.70-1.72
As 0.6883 0.1586 0.8887  4 O 1.70-1.72
As 0.6883 0.3414 0.3887  4 O 1.70-1.72
O 0.1132 0.6447 0.0157  1 As 1.70
O 0.1132 0.8553 0.5157  1 As 1.70
O 0.1530 0.0098 0.9130  1 As 1.71
O 0.1530 0.4902 0.4130  1 As 1.71
O 0.3619 0.6025 0.8438  1 As 1.72
O 0.3619 0.8975 0.3438  1 As 1.72
O 0.3752 0.2126 0.7728  1 As 1.71
O 0.3752 0.2874 0.2728  1 As 1.71
O 0.6248 0.7126 0.7272  1 As 1.71
O 0.6248 0.7874 0.2272  1 As 1.71
O 0.6381 0.1025 0.6562  1 As 1.72
O 0.6381 0.3975 0.1562  1 As 1.72
O 0.8470 0.5098 0.5870  1 As 1.71
O 0.8470 0.9902 0.0870  1 As 1.71
O 0.8868 0.1447 0.4843  1 As 1.70
O 0.8868 0.3553 0.9843  1 As 1.70